Record 1
# Bi2MoAsP (PBE, optimized geometry)
# * E above lowest polymorph: 0.000 eV per atom
# * formation enthalpy at 0 K: 0.736 eV/atom
data_Bi2MoAsP
_symmetry_space_group_name_H-M 'P 4/m m m'
_symmetry_Int_Tables_number 123
_symmetry_space_group_name_Hall '-P 4 2'
_cell_length_a 5.404
_cell_length_b 5.404
_cell_length_c 4.695
_cell_angle_alpha 90.00
_cell_angle_beta 90.00
_cell_angle_gamma 90.00
loop_
_atom_site_label
_atom_site_type_symbol
_atom_site_fract_x
_atom_site_fract_y
_atom_site_fract_z
_atom_site_occupancy
Bi1 Bi 0.000 0.500 0.000 1
Mo1 Mo 0.000 0.000 0.000 1
As1 As 0.000 0.000 0.500 1
P1 P 0.500 0.500 0.500 1



Record 2
# KLiNb2Si (PBE, optimized geometry)
# * formation energy from raw total energies: 489 kJ/mol of formula units
data_KLiNb2Si
_symmetry_space_group_name_H-M 'P 4/m m m'
_symmetry_Int_Tables_number 123
_symmetry_space_group_name_Hall '-P 4 2'
_cell_length_a 4.859
_cell_length_b 4.859
_cell_length_c 6.045
_cell_angle_alpha 90.00
_cell_angle_beta 90.00
_cell_angle_gamma 90.00
loop_
_atom_site_label
_atom_site_type_symbol
_atom_site_fract_x
_atom_site_fract_y
_atom_site_fract_z
_atom_site_occupancy
K1 K 0.000 0.000 0.000 1
Li1 Li 0.500 0.500 0.000 1
Nb1 Nb 0.000 0.500 0.500 1
Si1 Si 0.000 0.000 0.500 1



Record 3
# CdCN2 (PBE, optimized geometry)
# * formation energy from raw total energies: 695 kJ/mol of formula units
data_CdCN2
_symmetry_space_group_name_H-M 'R 3 m'
_symmetry_Int_Tables_number 160
_symmetry_space_group_name_Hall 'R 3 -2"'
_cell_length_a 2.5241
_cell_length_b 2.5241
_cell_length_c 26.6387
_cell_angle_alpha 90.00
_cell_angle_beta 90.00
_cell_angle_gamma 120.00
loop_
_atom_site_label
_atom_site_type_symbol
_atom_site_fract_x
_atom_site_fract_y
_atom_site_fract_z
_atom_site_occupancy
Cd1 Cd 0.0000 0.0000 0.0000 1
C1 C 0.0000 0.0000 0.8278 1
N1 N 0.0000 0.0000 0.1561 1
N2 N 0.0000 0.0000 0.5892 1



Number 1: energy -4.99 eV per atom, DOS at the Fermi energy 0.597 states/eV per atom. Number 2: energy -4.70 eV per atom, DOS at the Fermi energy 0.993 states/eV per atom. Number 3: energy -4.90 eV per atom, DOS at the Fermi energy 0.297 states/eV per atom.